Compound: Y3AgPd
Source: the Alexandria database
Functional: PBE
Structure: optimized geometry

Cell and atoms, written as CIF:
```
data_Y3AgPd
_symmetry_space_group_name_H-M 'P -1'
_symmetry_Int_Tables_number 2
_cell_length_a 5.457
_cell_length_b 6.170
_cell_length_c 8.546
_cell_angle_alpha 97.48
_cell_angle_beta 99.70
_cell_angle_gamma 113.04
loop_
_symmetry_equiv_pos_as_xyz
'x,y,z'
'-x,-y,-z'
loop_
_atom_site_label
_atom_site_type_symbol
_atom_site_fract_x
_atom_site_fract_y
_atom_site_fract_z
Y1 Y 0.049 0.160 0.320
Y2 Y 0.294 0.470 0.723
Y3 Y 0.300 0.796 0.103
Ag1 Ag 0.341 0.752 0.456
Pd1 Pd 0.237 0.237 0.006
```

Calculated values
**VASP energy**: -5.907 eV/atom
**Calculated formation energy**: -0.420 eV per atom
**Offset from the most stable computed form**: 0 meV/atom

Compound: YAgPd
Source: the Alexandria database
Functional: PBE
Structure: optimized geometry

Cell and atoms, written as CIF:
```
data_YAgPd
_symmetry_space_group_name_H-M 'I 4 m m'
_symmetry_Int_Tables_number 107
_symmetry_space_group_name_Hall 'I 4 -2'
_cell_length_a 3.677
_cell_length_b 3.677
_cell_length_c 9.170
_cell_angle_alpha 90.00
_cell_angle_beta 90.00
_cell_angle_gamma 90.00
loop_
_atom_site_label
_atom_site_type_symbol
_atom_site_fract_x
_atom_site_fract_y
_atom_site_fract_z
Y1 Y 0.000 0.000 0.000
Ag1 Ag 0.000 0.000 0.323
Pd1 Pd 0.000 0.000 0.657
```

Calculated values
**VASP energy**: -5.411 eV/atom
**Calculated formation energy**: -0.575 eV per atom
**Offset from the most stable computed form**: 52 meV/atom

Compound: YAg3Pd
Source: the Alexandria database
Functional: PBE
Structure: optimized geometry

Cell and atoms, written as CIF:
```
data_YAg3Pd
_symmetry_space_group_name_H-M 'P m -3 m'
_symmetry_Int_Tables_number 221
_symmetry_space_group_name_Hall '-P 4 2 3'
_cell_length_a 5.365
_cell_length_b 5.365
_cell_length_c 5.365
_cell_angle_alpha 90.00
_cell_angle_beta 90.00
_cell_angle_gamma 90.00
loop_
_atom_site_label
_atom_site_type_symbol
_atom_site_fract_x
_atom_site_fract_y
_atom_site_fract_z
Y1 Y 0.000 0.000 0.000
Ag1 Ag 0.000 0.000 0.500
Pd1 Pd 0.500 0.500 0.500
```

Calculated values
**VASP energy**: -2.819 eV/atom
**Calculated formation energy**: 1.223 eV per atom
**Offset from the most stable computed form**: 1174 meV/atom

Compound: Y5Ag4Pd
Source: the Alexandria database
Functional: PBE
Structure: optimized geometry

Cell and atoms, written as CIF:
```
data_Y5Ag4Pd
_symmetry_space_group_name_H-M 'P 4/m m m'
_symmetry_Int_Tables_number 123
_symmetry_space_group_name_Hall '-P 4 2'
_cell_length_a 3.603
_cell_length_b 3.603
_cell_length_c 18.292
_cell_angle_alpha 90.00
_cell_angle_beta 90.00
_cell_angle_gamma 90.00
loop_
_atom_site_label
_atom_site_type_symbol
_atom_site_fract_x
_atom_site_fract_y
_atom_site_fract_z
Y1 Y 0.000 0.000 0.000
Y2 Y 0.000 0.000 0.203
Y3 Y 0.000 0.000 0.407
Ag1 Ag 0.500 0.500 0.101
Ag2 Ag 0.500 0.500 0.304
Pd1 Pd 0.500 0.500 0.500
```

Calculated values
**VASP energy**: -5.332 eV/atom
**Calculated formation energy**: -0.440 eV per atom

Compound: Y2Ag2Pd3
Source: the Alexandria database
Functional: PBE
Structure: optimized geometry

Cell and atoms, written as CIF:
```
data_Y2Ag2Pd3
_symmetry_space_group_name_H-M 'C 1 2/m 1'
_symmetry_Int_Tables_number 12
_cell_length_a 9.638
_cell_length_b 4.325
_cell_length_c 7.130
_cell_angle_alpha 90.00
_cell_angle_beta 108.07
_cell_angle_gamma 90.00
loop_
_symmetry_equiv_pos_as_xyz
'x,y,z'
'-x,-y,-z'
'-x,y,-z'
'x,-y,z'
'x+1/2,y+1/2,z'
'-x+1/2,-y+1/2,-z'
'-x+1/2,y+1/2,-z'
'x+1/2,-y+1/2,z'
loop_
_atom_site_label
_atom_site_type_symbol
_atom_site_fract_x
_atom_site_fract_y
_atom_site_fract_z
Y1 Y 0.128 0.000 0.285
Ag1 Ag 0.123 0.500 0.931
Pd1 Pd 0.000 0.500 0.500
Pd2 Pd 0.165 0.000 0.700
```

Calculated values
**VASP energy**: -5.495 eV/atom
**Calculated formation energy**: -0.608 eV per atom
**Offset from the most stable computed form**: 6 meV/atom

Compound: Y2AgPd2
Source: the Alexandria database
Functional: PBE
Structure: optimized geometry

Cell and atoms, written as CIF:
```
data_Y2AgPd2
_symmetry_space_group_name_H-M 'P 4/m b m'
_symmetry_Int_Tables_number 127
_symmetry_space_group_name_Hall '-P 4 2ab'
_cell_length_a 8.088
_cell_length_b 8.088
_cell_length_c 3.481
_cell_angle_alpha 90.00
_cell_angle_beta 90.00
_cell_angle_gamma 90.00
loop_
_atom_site_label
_atom_site_type_symbol
_atom_site_fract_x
_atom_site_fract_y
_atom_site_fract_z
Y1 Y 0.161 0.339 0.000
Ag1 Ag 0.000 0.000 0.000
Pd1 Pd 0.132 0.632 0.500
```

Calculated values
**VASP energy**: -5.730 eV/atom
**Calculated formation energy**: -0.497 eV per atom
**Offset from the most stable computed form**: 247 meV/atom

Compound: Y2Ag2Pd
Source: the Alexandria database
Functional: PBE
Structure: optimized geometry

Cell and atoms, written as CIF:
```
data_Y2Ag2Pd
_symmetry_space_group_name_H-M 'I 4/m m m'
_symmetry_Int_Tables_number 139
_symmetry_space_group_name_Hall '-I 4 2'
_cell_length_a 5.583
_cell_length_b 5.583
_cell_length_c 7.940
_cell_angle_alpha 90.00
_cell_angle_beta 90.00
_cell_angle_gamma 90.00
loop_
_atom_site_label
_atom_site_type_symbol
_atom_site_fract_x
_atom_site_fract_y
_atom_site_fract_z
Y1 Y 0.000 0.500 0.250
Ag1 Ag 0.000 0.000 0.158
Pd1 Pd 0.000 0.000 0.500
```

Calculated values
**VASP energy**: -4.876 eV/atom
**Calculated formation energy**: -0.111 eV per atom
**Offset from the most stable computed form**: 316 meV/atom

Compound: Y4AgPd7
Source: the Alexandria database
Functional: PBE
Structure: optimized geometry

Cell and atoms, written as CIF:
```
data_Y4AgPd7
_symmetry_space_group_name_H-M 'C 1 2/m 1'
_symmetry_Int_Tables_number 12
_cell_length_a 10.668
_cell_length_b 5.233
_cell_length_c 10.433
_cell_angle_alpha 90.00
_cell_angle_beta 119.27
_cell_angle_gamma 90.00
loop_
_symmetry_equiv_pos_as_xyz
'x,y,z'
'-x,-y,-z'
'-x,y,-z'
'x,-y,z'
'x+1/2,y+1/2,z'
'-x+1/2,-y+1/2,-z'
'-x+1/2,y+1/2,-z'
'x+1/2,-y+1/2,z'
loop_
_atom_site_label
_atom_site_type_symbol
_atom_site_fract_x
_atom_site_fract_y
_atom_site_fract_z
Y1 Y 0.098 0.000 0.292
Y2 Y 0.208 0.500 0.133
Ag1 Ag 0.000 0.500 0.500
Pd1 Pd 0.000 0.000 0.500
Pd2 Pd 0.077 0.500 0.811
Pd3 Pd 0.131 0.000 0.016
Pd4 Pd 0.209 0.500 0.404
```

Calculated values
**VASP energy**: -6.004 eV/atom
**Calculated formation energy**: -0.583 eV per atom

Compound: Y4AgPd
Source: the Alexandria database
Functional: PBE
Structure: optimized geometry

Cell and atoms, written as CIF:
```
data_Y4AgPd
_symmetry_space_group_name_H-M 'C 1 2/m 1'
_symmetry_Int_Tables_number 12
_cell_length_a 7.017
_cell_length_b 7.017
_cell_length_c 7.060
_cell_angle_alpha 90.00
_cell_angle_beta 90.08
_cell_angle_gamma 90.00
loop_
_symmetry_equiv_pos_as_xyz
'x,y,z'
'-x,-y,-z'
'-x,y,-z'
'x,-y,z'
'x+1/2,y+1/2,z'
'-x+1/2,-y+1/2,-z'
'-x+1/2,y+1/2,-z'
'x+1/2,-y+1/2,z'
loop_
_atom_site_label
_atom_site_type_symbol
_atom_site_fract_x
_atom_site_fract_y
_atom_site_fract_z
Y1 Y 0.250 0.250 0.241
Ag1 Ag 0.000 0.000 0.500
Pd1 Pd 0.000 0.500 0.000
```

Calculated values
**VASP energy**: -5.858 eV/atom
**Calculated formation energy**: -0.208 eV per atom
**Offset from the most stable computed form**: 225 meV/atom

Compound: Y3Ag3Pd2
Source: the Alexandria database
Functional: PBE
Structure: optimized geometry

Cell and atoms, written as CIF:
```
data_Y3Ag3Pd2
_symmetry_space_group_name_H-M 'P -6 2 m'
_symmetry_Int_Tables_number 189
_symmetry_space_group_name_Hall 'P -6 -2'
_cell_length_a 7.4763
_cell_length_b 7.4763
_cell_length_c 3.6852
_cell_angle_alpha 90.00
_cell_angle_beta 90.00
_cell_angle_gamma 120.00
loop_
_atom_site_label
_atom_site_type_symbol
_atom_site_fract_x
_atom_site_fract_y
_atom_site_fract_z
Y1 Y 0.0000 0.4090 0.0000
Ag1 Ag 0.0000 0.7709 0.5000
Pd1 Pd 0.3333 0.6667 0.5000
```

Calculated values
**VASP energy**: -5.368 eV/atom
**Calculated formation energy**: -0.577 eV per atom

Compound: Y2AgPd2
Source: the Alexandria database
Functional: PBE
Structure: optimized geometry

Cell and atoms, written as CIF:
```
data_Y2AgPd2
_symmetry_space_group_name_H-M 'P 4/m b m'
_symmetry_Int_Tables_number 127
_symmetry_space_group_name_Hall '-P 4 2ab'
_cell_length_a 7.600
_cell_length_b 7.600
_cell_length_c 3.794
_cell_angle_alpha 90.00
_cell_angle_beta 90.00
_cell_angle_gamma 90.00
loop_
_atom_site_label
_atom_site_type_symbol
_atom_site_fract_x
_atom_site_fract_y
_atom_site_fract_z
Y1 Y 0.172 0.328 0.000
Ag1 Ag 0.000 0.000 0.500
Pd1 Pd 0.130 0.630 0.500
```

Calculated values
**VASP energy**: -5.977 eV/atom
**Calculated formation energy**: -0.744 eV per atom
**Offset from the most stable computed form**: 0 meV/atom

Compound: Y2AgPd2
Source: the Alexandria database
Functional: PBE
Structure: optimized geometry

Cell and atoms, written as CIF:
```
data_Y2AgPd2
_symmetry_space_group_name_H-M 'I 4/m m m'
_symmetry_Int_Tables_number 139
_symmetry_space_group_name_Hall '-I 4 2'
_cell_length_a 5.391
_cell_length_b 5.391
_cell_length_c 8.151
_cell_angle_alpha 90.00
_cell_angle_beta 90.00
_cell_angle_gamma 90.00
loop_
_atom_site_label
_atom_site_type_symbol
_atom_site_fract_x
_atom_site_fract_y
_atom_site_fract_z
Y1 Y 0.000 0.500 0.250
Ag1 Ag 0.000 0.000 0.000
Pd1 Pd 0.000 0.000 0.342
```

Calculated values
**VASP energy**: -5.762 eV/atom
**Calculated formation energy**: -0.529 eV per atom
**Offset from the most stable computed form**: 214 meV/atom